[1]
Crystalline K2ErMnSe4 at its relaxed geometry, computed with PBE.

Cell: 8.5701 8.5701 8.5282 Å, 121.42 121.42 87.11°
Last column: nearest neighbours and their distance in Å.
Sites, in units of the cell vectors:
K (0.5000, 0.0000, 0.0000)  6 Se 3.11-3.33
K (0.5000, 0.0000, 0.5000)  6 Se 3.11-3.33
K (0.0000, 0.0000, 0.4999)  6 Se 3.20-3.35
K (0.5000, 0.5000, 0.0001)  6 Se 3.20-3.35
Er (0.9999, 0.5000, 0.0000)  6 Se 2.84-2.93
Er (0.0000, 0.5001, 0.5000)  6 Se 2.84-2.93
Mn (0.4998, 0.4998, 0.5000)  4 Se 2.59-2.62
Mn (0.0002, 0.0002, 0.0000)  4 Se 2.59-2.62
Se (0.1949, 0.7530, 0.9799)  1 Mn 2.62, 2 Er 2.87-2.93
Se (0.7470, 0.3051, 0.5201)  1 Mn 2.62, 2 Er 2.87-2.93
Se (0.2530, 0.6949, 0.4799)  1 Mn 2.62, 2 Er 2.87-2.93
Se (0.8051, 0.2470, 0.0201)  1 Mn 2.62, 2 Er 2.87-2.93
Se (0.7355, 0.7114, 0.9354)  1 Mn 2.59, 1 Er 2.84
Se (0.7887, 0.7645, 0.5646)  1 Mn 2.59, 1 Er 2.84
Se (0.2116, 0.2357, 0.4356)  1 Mn 2.59, 1 Er 2.84
Se (0.2643, 0.2884, 0.0644)  1 Mn 2.59, 1 Er 2.84

V: 27.2 Å³/atom
Magnetization: 7.99 μB per cell
E_form (uncorrected): -1.15 eV/atom
Symmetry: No. 15

---

[2]
Crystalline Ag2AsSe2S at its relaxed geometry, computed with PBE.

Cell: 7.5349 6.9637 6.9172 Å, 120.22 90.00 90.00°
Last column: nearest neighbours and their distance in Å.
Sites, in units of the cell vectors:
Ag (0.8295, 0.8299, 0.3052)  1 S 2.58, 3 Se 2.63-2.71
Ag (0.8295, 0.5247, 0.6948)  1 S 2.58, 3 Se 2.63-2.71
Ag (0.3295, 0.4753, 0.3052)  1 S 2.58, 3 Se 2.63-2.71
Ag (0.3295, 0.1701, 0.6948)  1 S 2.58, 3 Se 2.63-2.71
As (0.2933, 0.8406, 0.0000)  1 S 2.23, 2 Se 2.43
As (0.7933, 0.1594, 0.0000)  1 S 2.23, 2 Se 2.43
Se (0.1777, 0.8322, 0.3240)  1 As 2.43, 3 Ag 2.63-2.71
Se (0.1777, 0.5082, 0.6760)  1 As 2.43, 3 Ag 2.63-2.71
Se (0.6777, 0.1678, 0.6760)  1 As 2.43, 3 Ag 2.63-2.71
Se (0.6777, 0.4918, 0.3240)  1 As 2.43, 3 Ag 2.63-2.71
S (0.6656, 0.8710, 0.0000)  1 As 2.23
S (0.1656, 0.1290, 0.0000)  1 As 2.23

V: 26.1 Å³/atom
Magnetization: 0.00 μB per cell
E_form (uncorrected): -0.05 eV/atom
Symmetry: No. 36

---

[3]
Crystalline TbPr3Sm6Er2 at its relaxed geometry, computed with PBE.

Cell: 6.2839 6.2839 12.0076 Å, 95.01 95.01 120.01°
Last column: nearest neighbours and their distance in Å.
Sites, in units of the cell vectors:
Tb (0.0000, 0.0000, 0.0000)  6 Sm 3.57, 6 Er 3.63
Pr (0.1668, 0.8332, 0.5000)  6 Pr 3.63, 6 Sm 3.67-3.68
Pr (0.8332, 0.1668, 0.5000)  6 Pr 3.63, 6 Sm 3.67-3.68
Pr (0.5000, 0.5000, 0.5000)  6 Pr 3.63, 6 Sm 3.67-3.68
Sm (0.9180, 0.5844, 0.7553)  2 Er 3.57, 1 Tb 3.57, 6 Sm 3.63, 3 Pr 3.67-3.68
Sm (0.7482, 0.7482, 0.2446)  1 Tb 3.57, 2 Er 3.57, 6 Sm 3.63, 3 Pr 3.68
Sm (0.0820, 0.4156, 0.2447)  2 Er 3.57, 1 Tb 3.57, 6 Sm 3.63, 3 Pr 3.67-3.68
Sm (0.5844, 0.9180, 0.7553)  2 Er 3.57, 1 Tb 3.57, 6 Sm 3.63, 3 Pr 3.67-3.68
Sm (0.2518, 0.2518, 0.7554)  1 Tb 3.57, 2 Er 3.57, 6 Sm 3.63, 3 Pr 3.68
Sm (0.4156, 0.0820, 0.2447)  2 Er 3.57, 1 Tb 3.57, 6 Sm 3.63, 3 Pr 3.67-3.68
Er (0.3333, 0.6667, 0.0000)  6 Sm 3.57, 3 Er 3.63, 3 Tb 3.63
Er (0.6667, 0.3333, 0.0000)  6 Sm 3.57, 3 Er 3.63, 3 Tb 3.63

Formation energy: 0.02 eV per atom
V: 33.7 Å³/atom
Magnetization: 0.00 μB per cell
Symmetry: No. 12

---

| no. | VASP energy (eV per atom) |
| --- | --- |
| 1 | -4.89 |
| 2 | -3.62 |
| 3 | -4.68 |